Record 1
A relaxed Pm4CuAu3 crystal. Source: Alexandria via LeMat-Bulk, functional GGA-PBE.

Output
Energy of formation ... -0.6594 eV/atom
Space-group type ... Pmm2, No. 25
VASP energy ... -38.21 eV for the cell shown

Unit cell a=3.933 b=4.712 c=11.020 alpha=90.00 beta=90.00 gamma=90.00
Positions (direct):
1 Au 0.000 0.500 0.587
2 Au 0.500 0.000 0.923
3 Au 0.000 0.000 0.414
4 Pm 0.500 0.000 0.639
5 Pm 0.500 0.500 0.358
6 Pm 0.000 0.500 0.867
7 Pm 0.000 0.000 0.136
8 Cu 0.500 0.500 0.078



Record 2
A relaxed Pm5Cu2Au2 crystal. Source: Alexandria via LeMat-Bulk, functional GGA-PBE.

Output
Energy of formation ... -0.3986 eV/atom
Space-group type ... Cmce, No. 64
VASP energy ... -84.18 eV for the cell shown

Unit cell a=7.614 b=7.336 c=9.166 alpha=113.59 beta=90.00 gamma=90.00
Positions (direct):
1 Pm 0.677 0.036 0.723
2 Pm 0.823 0.536 0.723
3 Pm 0.323 0.687 0.723
4 Pm 0.177 0.464 0.277
5 Pm 0.177 0.187 0.723
6 Pm 0.823 0.813 0.277
7 Pm 0.500 0.500 0.000
8 Pm 0.000 0.000 0.000
9 Pm 0.677 0.313 0.277
10 Pm 0.323 0.964 0.277
11 Cu 0.879 0.386 0.000
12 Cu 0.121 0.614 0.000
13 Cu 0.379 0.114 0.000
14 Cu 0.621 0.886 0.000
15 Au 0.000 0.786 0.573
16 Au 0.500 0.286 0.573
17 Au 0.500 0.714 0.427
18 Au 0.000 0.214 0.427



Record 3
A relaxed Pm3Cu2Au6 crystal. Source: Alexandria via LeMat-Bulk, functional GGA-PBE.

Output
Energy of formation ... -0.5358 eV/atom
Space-group type ... I4/mmm, No. 139
VASP energy ... -48.00 eV for the cell shown

Unit cell a=4.368 b=4.368 c=12.900 alpha=99.75 beta=99.75 gamma=90.00
Positions (direct):
1 Au 0.102 0.602 0.205
2 Au 0.317 0.317 0.634
3 Au 0.602 0.102 0.205
4 Au 0.683 0.683 0.366
5 Au 0.398 0.898 0.795
6 Au 0.898 0.398 0.795
7 Pm 0.197 0.197 0.393
8 Pm 0.000 0.000 0.000
9 Pm 0.803 0.803 0.607
10 Cu 0.546 0.546 0.093
11 Cu 0.454 0.454 0.907



Record 4
A relaxed Pm8CuAu2 crystal. Source: Alexandria via LeMat-Bulk, functional GGA-PBE.

Output
Energy of formation ... -0.3002 eV/atom
Space-group type ... C2/m, No. 12
VASP energy ... -51.96 eV for the cell shown

Unit cell a=5.208 b=6.952 c=9.589 alpha=106.57 beta=105.76 gamma=90.00
Positions (direct):
1 Cu 0.500 0.000 0.000
2 Pm 0.410 0.541 0.820
3 Pm 0.590 0.459 0.180
4 Pm 0.025 0.784 0.050
5 Pm 0.975 0.216 0.950
6 Pm 0.799 0.667 0.598
7 Pm 0.666 0.989 0.332
8 Pm 0.201 0.333 0.402
9 Pm 0.334 0.011 0.668
10 Au 0.822 0.263 0.644
11 Au 0.178 0.737 0.356



Record 5
A relaxed Pm2Cu3Au crystal. Source: Alexandria via LeMat-Bulk, functional GGA-PBE.

Output
Energy of formation ... -0.3620 eV/atom
Excess energy over the best structure of this formula in the dataset ... 0.025 eV per atom
Space-group type ... Imm2, No. 44
VASP energy ... -27.24 eV for the cell shown

Unit cell a=3.938 b=3.992 c=8.499 alpha=103.58 beta=103.39 gamma=90.00
Positions (direct):
1 Au 0.454 0.954 0.907
2 Pm 0.129 0.129 0.258
3 Pm 0.869 0.369 0.739
4 Cu 0.705 0.705 0.410
5 Cu 0.553 0.553 0.107
6 Cu 0.290 0.790 0.579



Record 6
A relaxed Pm3CuAu2 crystal. Source: Alexandria via LeMat-Bulk, functional GGA-PBE.

Output
Energy of formation ... -0.5726 eV/atom
Excess energy over the best structure of this formula in the dataset ... 0.004 eV per atom
Space-group type ... P-3m1, No. 164
VASP energy ... -56.68 eV for the cell shown

Unit cell a=5.183 b=5.183 c=12.670 alpha=90.00 beta=90.00 gamma=120.00
Positions (direct):
1 Au 0.333 0.667 0.174
2 Au 0.000 0.000 0.500
3 Au 0.667 0.333 0.826
4 Au 0.000 0.000 0.000
5 Pm 0.667 0.333 0.085
6 Pm 0.000 0.000 0.747
7 Pm 0.667 0.333 0.581
8 Pm 0.333 0.667 0.915
9 Pm 0.000 0.000 0.253
10 Pm 0.333 0.667 0.419
11 Cu 0.333 0.667 0.668
12 Cu 0.667 0.333 0.332



Record 7
A relaxed PmCu4Au4 crystal. Source: Alexandria via LeMat-Bulk, functional GGA-PBE.

Output
Energy of formation ... -0.0790 eV/atom
Space-group type ... I4/m, No. 87
VASP energy ... -69.91 eV for the cell shown

Unit cell a=4.725 b=8.267 c=8.267 alpha=90.00 beta=90.00 gamma=90.00
Positions (direct):
1 Au 0.000 0.089 0.644
2 Au 0.500 0.589 0.144
3 Au 0.000 0.644 0.911
4 Au 0.000 0.911 0.356
5 Au 0.500 0.856 0.589
6 Au 0.500 0.144 0.411
7 Au 0.500 0.411 0.856
8 Au 0.000 0.356 0.089
9 Cu 0.000 0.296 0.394
10 Cu 0.000 0.394 0.704
11 Cu 0.500 0.106 0.796
12 Cu 0.500 0.796 0.894
13 Cu 0.500 0.894 0.204
14 Cu 0.000 0.606 0.296
15 Cu 0.500 0.204 0.106
16 Cu 0.000 0.704 0.606
17 Pm 0.000 0.000 0.000
18 Pm 0.500 0.500 0.500



Record 8
A relaxed PmCuAu crystal. Source: Alexandria via LeMat-Bulk, functional GGA-PBE.

Output
Energy of formation ... -0.4486 eV/atom
Excess energy over the best structure of this formula in the dataset ... 0.092 eV per atom
Space-group type ... I4mm, No. 107
VASP energy ... -13.47 eV for the cell shown

Unit cell a=3.726 b=3.726 c=5.260 alpha=110.75 beta=110.75 gamma=90.00
Positions (direct):
1 Pm 0.951 0.951 0.902
2 Cu 0.278 0.278 0.555
3 Au 0.622 0.622 0.243



| no. | total magnetization (μB per cell) |
| --- | --- |
| 1 | 0.0 |
| 2 | 0.0 |
| 3 | 0.0 |
| 4 | 0.0 |
| 5 | 0.0 |
| 6 | 0.0 |
| 7 | 0.0 |
| 8 | 0.0 |